A plane-wave DFT calculation with PBE+U was carried out for a geometry-optimized Mo2OsIO structure.

## Properties
- Space group: No. 123
- Total moment: 3.86 Bohr magnetons per cell
- E_tot: -26.70 eV per cell

Cell: 4.1207 5.1561 4.1207 Å, 90.00 90.00 90.00°
Fractional coordinates of all 5 atoms:
Mo (0.0000, 0.0000, 0.5000)
Mo (0.5000, 0.0000, 0.0000)
Os (0.5000, 0.5000, 0.5000)
O (0.0000, 0.0000, 0.0000)
I (0.0000, 0.5000, 0.0000)